Entry 1:
The following is a DFT calculation (GGA-PBE) of HfCoCu after structural relaxation.

The structure belongs to space group F-43m (No. 216); the cell edges are 5.913, 5.913 and 5.913 Å and the angles 90.00°, 90.00° and 90.00°. The distinct sites, in fractional coordinates, are Hf at (0.000, 0.000, 0.000), Co at (0.250, 0.250, 0.750) and Cu at (0.250, 0.250, 0.250).

Its total magnetization is 0.000 μB/atom. For the formation energy, the calculation gives 0.47 eV per atom. The total energy comes out at -6.457 eV/atom.

Entry 2:
The following is a DFT calculation (GGA-PBE) of Hf2CoCu after structural relaxation.

The structure belongs to space group F-43m (No. 216); the cell edges are 6.279, 6.279 and 6.279 Å and the angles 90.00°, 90.00° and 90.00°. The distinct sites, in fractional coordinates, are Hf at (0.000, 0.000, 0.000), Hf at (0.250, 0.250, 0.250), Co at (0.250, 0.250, 0.750) and Cu at (0.000, 0.000, 0.500).

Its total magnetization is 0.000 μB/atom. For the formation energy, the calculation gives 0.08 eV per atom. The total energy comes out at -7.599 eV/atom.

Entry 3:
The following is a DFT calculation (GGA-PBE) of HfCoCu2 after structural relaxation.

The structure belongs to space group F-43m (No. 216); the cell edges are 6.024, 6.024 and 6.024 Å and the angles 90.00°, 90.00° and 90.00°. The distinct sites, in fractional coordinates, are Hf at (0.000, 0.000, 0.000), Co at (0.250, 0.250, 0.750), Cu at (0.000, 0.000, 0.500) and Cu at (0.250, 0.250, 0.250).

Its total magnetization is 0.012 μB/atom. For the formation energy, the calculation gives -0.07 eV per atom. The total energy comes out at -6.199 eV/atom.

Entry 4:
The following is a DFT calculation (GGA-PBE) of HfCoCu after structural relaxation.

The structure belongs to space group F-43m (No. 216); the cell edges are 5.801, 5.801 and 5.801 Å and the angles 90.00°, 90.00° and 90.00°. The distinct sites, in fractional coordinates, are Hf at (0.000, 0.000, 0.000), Co at (0.250, 0.250, 0.750) and Cu at (0.000, 0.000, 0.500).

Its total magnetization is 0.001 μB/atom. For the formation energy, the calculation gives 0.07 eV per atom. The total energy comes out at -6.853 eV/atom.

Entry 5:
The following is a DFT calculation (GGA-PBE) of HfCo2Cu after structural relaxation.

The structure belongs to space group F-43m (No. 216); the cell edges are 5.979, 5.979 and 5.979 Å and the angles 90.00°, 90.00° and 90.00°. The distinct sites, in fractional coordinates, are Hf at (0.000, 0.000, 0.000), Co at (0.000, 0.000, 0.500), Co at (0.250, 0.250, 0.250) and Cu at (0.250, 0.250, 0.750).

Its total magnetization is 0.598 μB/atom. For the formation energy, the calculation gives 0.00 eV per atom. The total energy comes out at -6.973 eV/atom.

Entry 6:
The following is a DFT calculation (GGA-PBE) of Hf4CoCuP2 after structural relaxation.

The structure belongs to space group Pm (No. 6); the cell edges are 5.192, 3.601 and 7.440 Å and the angles 90.00°, 109.76° and 90.00°. The distinct sites, in fractional coordinates, are Hf at (0.000, 0.000, 0.000), Hf at (0.054, 0.500, 0.629), Hf at (0.485, 0.000, 0.480), Hf at (0.557, 0.500, 0.142), Co at (0.132, 0.500, 0.269), Cu at (0.415, 0.000, 0.850), P at (0.639, 0.500, 0.770) and P at (0.913, 0.000, 0.352).

Its total magnetization is 0.001 μB/atom. The total energy comes out at -8.542 eV/atom.

Entry 7:
The following is a DFT calculation (GGA-PBE) of HfCoCuPb after structural relaxation.

The structure belongs to space group F-43m (No. 216); the cell edges are 6.466, 6.466 and 6.466 Å and the angles 90.00°, 90.00° and 90.00°. The distinct sites, in fractional coordinates, are Hf at (0.000, 0.000, 0.000), Co at (0.000, 0.000, 0.500), Cu at (0.250, 0.250, 0.250) and Pb at (0.250, 0.250, 0.750).

Its total magnetization is 0.078 μB/atom. The total energy comes out at -5.843 eV/atom. The value obtained for the energy relative to the lowest polymorph listed for this composition is 258 meV/atom.

Entry 8:
The following is a DFT calculation (GGA-PBE) of HfCoCuPb after structural relaxation.

The structure belongs to space group F-43m (No. 216); the cell edges are 6.398, 6.398 and 6.398 Å and the angles 90.00°, 90.00° and 90.00°. The distinct sites, in fractional coordinates, are Hf at (0.000, 0.000, 0.000), Co at (0.250, 0.250, 0.750), Cu at (0.250, 0.250, 0.250) and Pb at (0.000, 0.000, 0.500).

Its total magnetization is 0.001 μB/atom. The total energy comes out at -6.101 eV/atom. The value obtained for the energy relative to the lowest polymorph listed for this composition is 0 meV/atom.

Entry 9:
The following is a DFT calculation (GGA-PBE) of HfCoCuPb after structural relaxation.

The structure belongs to space group F-43m (No. 216); the cell edges are 6.514, 6.514 and 6.514 Å and the angles 90.00°, 90.00° and 90.00°. The distinct sites, in fractional coordinates, are Hf at (0.000, 0.000, 0.000), Co at (0.250, 0.250, 0.250), Cu at (0.000, 0.000, 0.500) and Pb at (0.250, 0.250, 0.750).

Its total magnetization is 0.153 μB/atom. The total energy comes out at -5.806 eV/atom. The value obtained for the energy relative to the lowest polymorph listed for this composition is 295 meV/atom.

Entry 10:
The following is a DFT calculation (GGA-PBE) of HfCoCuSb after structural relaxation.

The structure belongs to space group F-43m (No. 216); the cell edges are 6.419, 6.419 and 6.419 Å and the angles 90.00°, 90.00° and 90.00°. The distinct sites, in fractional coordinates, are Hf at (0.000, 0.000, 0.000), Co at (0.250, 0.250, 0.750), Cu at (0.000, 0.000, 0.500) and Sb at (0.250, 0.250, 0.250).

Its total magnetization is 0.136 μB/atom. The total energy comes out at -6.117 eV/atom. The value obtained for the energy relative to the lowest polymorph listed for this composition is 264 meV/atom.

Entry 11:
The following is a DFT calculation (GGA-PBE) of HfCoCuSb after structural relaxation.

The structure belongs to space group F-43m (No. 216); the cell edges are 6.330, 6.330 and 6.330 Å and the angles 90.00°, 90.00° and 90.00°. The distinct sites, in fractional coordinates, are Hf at (0.000, 0.000, 0.000), Co at (0.250, 0.250, 0.750), Cu at (0.250, 0.250, 0.250) and Sb at (0.000, 0.000, 0.500).

Its total magnetization is 0.001 μB/atom. The total energy comes out at -6.380 eV/atom. The value obtained for the energy relative to the lowest polymorph listed for this composition is 0 meV/atom.

Entry 12:
The following is a DFT calculation (GGA-PBE) of HfCoCuSb after structural relaxation.

The structure belongs to space group F-43m (No. 216); the cell edges are 6.430, 6.430 and 6.430 Å and the angles 90.00°, 90.00° and 90.00°. The distinct sites, in fractional coordinates, are Hf at (0.000, 0.000, 0.000), Co at (0.000, 0.000, 0.500), Cu at (0.250, 0.250, 0.750) and Sb at (0.250, 0.250, 0.250).

Its total magnetization is 0.224 μB/atom. The total energy comes out at -6.160 eV/atom. The value obtained for the energy relative to the lowest polymorph listed for this composition is 221 meV/atom.

Entry 13:
The following is a DFT calculation (GGA-PBE) of HfCoCuSi after structural relaxation.

The structure belongs to space group F-43m (No. 216); the cell edges are 6.046, 6.046 and 6.046 Å and the angles 90.00°, 90.00° and 90.00°. The distinct sites, in fractional coordinates, are Hf at (0.000, 0.000, 0.000), Co at (0.000, 0.000, 0.500), Cu at (0.250, 0.250, 0.750) and Si at (0.250, 0.250, 0.250).

Its total magnetization is 0.053 μB/atom. The total energy comes out at -6.765 eV/atom. The value obtained for the energy relative to the lowest polymorph listed for this composition is 170 meV/atom.

Entry 14:
The following is a DFT calculation (GGA-PBE) of HfCoCuSi after structural relaxation.

The structure belongs to space group F-43m (No. 216); the cell edges are 6.062, 6.062 and 6.062 Å and the angles 90.00°, 90.00° and 90.00°. The distinct sites, in fractional coordinates, are Hf at (0.000, 0.000, 0.000), Co at (0.250, 0.250, 0.750), Cu at (0.000, 0.000, 0.500) and Si at (0.250, 0.250, 0.250).

Its total magnetization is 0.090 μB/atom. The total energy comes out at -6.708 eV/atom. The value obtained for the energy relative to the lowest polymorph listed for this composition is 228 meV/atom.

Entry 15:
The following is a DFT calculation (GGA-PBE) of HfCoCuSi after structural relaxation.

The structure belongs to space group F-43m (No. 216); the cell edges are 6.002, 6.002 and 6.002 Å and the angles 90.00°, 90.00° and 90.00°. The distinct sites, in fractional coordinates, are Hf at (0.000, 0.000, 0.000), Co at (0.250, 0.250, 0.250), Cu at (0.250, 0.250, 0.750) and Si at (0.000, 0.000, 0.500).

Its total magnetization is 0.001 μB/atom. The total energy comes out at -6.936 eV/atom. The value obtained for the energy relative to the lowest polymorph listed for this composition is 0 meV/atom.

Entry 16:
The following is a DFT calculation (GGA-PBE) of InCoCuHg after structural relaxation.

The structure belongs to space group F-43m (No. 216); the cell edges are 6.359, 6.359 and 6.359 Å and the angles 90.00°, 90.00° and 90.00°. The distinct sites, in fractional coordinates, are In at (0.000, 0.000, 0.000), Co at (0.250, 0.250, 0.250), Cu at (0.250, 0.250, 0.750) and Hg at (0.000, 0.000, 0.500).

Its total magnetization is 0.177 μB/atom. The total energy comes out at -3.209 eV/atom. The value obtained for the energy relative to the lowest polymorph listed for this composition is 0 meV/atom.

Entry 17:
The following is a DFT calculation (GGA-PBE) of CoCuHgMo after structural relaxation.

The structure belongs to space group F-43m (No. 216); the cell edges are 6.128, 6.128 and 6.128 Å and the angles 90.00°, 90.00° and 90.00°. The distinct sites, in fractional coordinates, are Co at (0.000, 0.000, 0.000), Cu at (0.000, 0.000, 0.500), Hg at (0.250, 0.250, 0.750) and Mo at (0.250, 0.250, 0.250).

Its total magnetization is 0.000 μB/atom. For the formation energy, the calculation gives 0.43 eV per atom. The total energy comes out at -5.065 eV/atom. The value obtained for the energy relative to the lowest polymorph listed for this composition is 0 meV/atom.

Entry 18:
The following is a DFT calculation (GGA-PBE) of CoCuHgMo after structural relaxation.

The structure belongs to space group F-43m (No. 216); the cell edges are 6.176, 6.176 and 6.176 Å and the angles 90.00°, 90.00° and 90.00°. The distinct sites, in fractional coordinates, are Co at (0.000, 0.000, 0.000), Cu at (0.250, 0.250, 0.750), Hg at (0.250, 0.250, 0.250) and Mo at (0.000, 0.000, 0.500).

Its total magnetization is 0.002 μB/atom. For the formation energy, the calculation gives 0.68 eV per atom. The total energy comes out at -4.813 eV/atom. The value obtained for the energy relative to the lowest polymorph listed for this composition is 251 meV/atom.

Entry 19:
The following is a DFT calculation (GGA-PBE) of CoCuHgSb after structural relaxation.

The structure belongs to space group F-43m (No. 216); the cell edges are 6.440, 6.440 and 6.440 Å and the angles 90.00°, 90.00° and 90.00°. The distinct sites, in fractional coordinates, are Co at (0.000, 0.000, 0.000), Cu at (0.000, 0.000, 0.500), Hg at (0.250, 0.250, 0.250) and Sb at (0.250, 0.250, 0.750).

Its total magnetization is 0.005 μB/atom. The total energy comes out at -3.460 eV/atom. The value obtained for the energy relative to the lowest polymorph listed for this composition is 0 meV/atom.

Entry 20:
The following is a DFT calculation (GGA-PBE) of CoCuHgTe after structural relaxation.

The structure belongs to space group F-43m (No. 216); the cell edges are 6.580, 6.580 and 6.580 Å and the angles 90.00°, 90.00° and 90.00°. The distinct sites, in fractional coordinates, are Co at (0.000, 0.000, 0.000), Cu at (0.000, 0.000, 0.500), Hg at (0.250, 0.250, 0.250) and Te at (0.250, 0.250, 0.750).

Its total magnetization is 0.381 μB/atom. The total energy comes out at -3.122 eV/atom. The value obtained for the energy relative to the lowest polymorph listed for this composition is 0 meV/atom.